(1)
GGA-PBE Li3Zn9Ga2, optimized geometry; E_form = -0.07 eV/atom; V = 238.7 Å³ per cell; space group = Immm (71)
1.0
-2.1093 4.4565 6.3479
2.1093 -4.4565 6.3479
2.1093 4.4565 -6.3479
Li Zn Ga
3 9 2
Direct
0.0000 0.0000 0.0000 Li
0.2987 0.2987 0.0000 Li
0.7013 0.7013 0.0000 Li
0.0372 0.6761 0.3610 Zn
0.1487 0.8693 0.2795 Zn
0.3151 0.6761 0.6390 Zn
0.4102 0.1307 0.2795 Zn
0.5000 0.0000 0.5000 Zn
0.5898 0.8693 0.7205 Zn
0.6849 0.3239 0.3610 Zn
0.8513 0.1307 0.7205 Zn
0.9628 0.3239 0.6390 Zn
0.2923 0.5000 0.7923 Ga
0.7077 0.5000 0.2077 Ga

***

(2)
GGA-PBE DyTmPdPt, optimized geometry; relative energy among the computed polymorphs = 28.7 meV per atom; E_form = -1.10 eV/atom; V = 84.1 Å³ per cell; space group = F-43m (216)
1.0
0.0000 3.4780 3.4780
3.4780 0.0000 3.4780
3.4780 3.4780 0.0000
Dy Tm Pd Pt
1 1 1 1
Direct
0.0000 0.0000 0.0000 Dy
0.5000 0.5000 0.5000 Tm
0.2500 0.2500 0.2500 Pd
0.7500 0.7500 0.7500 Pt

***

(3)
GGA-PBE FeHPbI2, optimized geometry; total energy = -3.115 eV per atom; V = 160.3 Å³ per cell; space group = P4/mmm (123)
1.0
6.2480 0.0000 0.0000
0.0000 6.2480 0.0000
0.0000 0.0000 4.1070
Fe H Pb I
1 1 1 2
Direct
0.0000 0.0000 0.0000 Fe
0.5000 0.5000 0.0000 H
0.5000 0.5000 0.5000 Pb
0.0000 0.5000 0.5000 I
0.5000 0.0000 0.5000 I

***

(4)
GGA-PBE TlRe2TcO8, optimized geometry; uncorrected formation energy = -31.03 kcal/mol of atoms; V = 220.8 Å³ per cell; space group = P-3 (147)
1.0
5.7928 0.0000 0.0000
-2.8964 5.0167 0.0000
0.0000 0.0000 7.5975
Tl Re Tc O
1 2 1 8
Direct
0.0000 0.0000 0.0000 Tl
0.3333 0.6667 0.7304 Re
0.6667 0.3333 0.2696 Re
0.0000 0.0000 0.5000 Tc
0.1449 0.3291 0.6531 O
0.1842 0.8551 0.6531 O
0.3291 0.1842 0.3469 O
0.3333 0.6667 0.9634 O
0.6667 0.3333 0.0366 O
0.6709 0.8158 0.6531 O
0.8158 0.1449 0.3469 O
0.8551 0.6709 0.3469 O

***

(5)
GGA-PBE B2C3, optimized geometry; relative energy among the computed polymorphs = 79.5 meV per atom; E_form = 0.32 eV/atom; V = 63.4 Å³ per cell; space group = Cm (8)
1.0
4.1864 -1.2813 0.0000
4.1864 1.2813 0.0000
-2.0460 0.0000 5.9125
B C
4 6
Direct
0.0000 0.0000 0.0000 B
0.0923 0.0923 0.2833 B
0.2231 0.2231 0.8365 B
0.8478 0.8478 0.2183 B
0.2186 0.2186 0.0976 C
0.4151 0.4151 0.8513 C
0.4399 0.4399 0.6229 C
0.6266 0.6266 0.6608 C
0.6695 0.6695 0.4518 C
0.8579 0.8579 0.4849 C

***

(6)
GGA-PBE Li2ZrTa, optimized geometry; relative energy among the computed polymorphs = 344.8 meV per atom; E_form = 0.55 eV/atom; V = 69.8 Å³ per cell; space group = I-4m2 (119)
1.0
-2.0155 2.0155 4.2940
2.0155 -2.0155 4.2940
2.0155 2.0155 -4.2940
Li Zr Ta
2 1 1
Direct
0.0000 0.0000 0.0000 Li
0.7500 0.2500 0.5000 Li
0.5000 0.5000 0.0000 Zr
0.2500 0.7500 0.5000 Ta

***

(7)
GGA-PBE ReTeP2, optimized geometry; uncorrected formation energy = 20.90 kcal/mol of atoms; V = 65.7 Å³ per cell; space group = P4/mmm (123)
1.0
4.6001 0.0000 0.0000
0.0000 4.6001 0.0000
0.0000 0.0000 3.1028
Re Te P
1 1 2
Direct
0.0000 0.0000 0.0000 Re
0.5000 0.5000 0.0000 Te
0.0000 0.5000 0.5000 P
0.5000 0.0000 0.5000 P

***

(8)
GGA-PBE CdHgPdF6, optimized geometry; uncorrected formation energy = -35.64 kcal/mol of atoms; V = 284.0 Å³ per cell; space group = P-31c (163)
1.0
5.8453 0.0000 0.0000
-2.9226 5.0621 0.0000
0.0000 0.0000 9.5985
Cd Hg Pd F
2 2 2 12
Direct
0.3333 0.6667 0.2500 Cd
0.6667 0.3333 0.7500 Cd
0.0000 0.0000 0.0000 Hg
0.0000 0.0000 0.5000 Hg
0.3333 0.6667 0.7500 Pd
0.6667 0.3333 0.2500 Pd
0.0087 0.3467 0.6309 F
0.0087 0.6621 0.8691 F
0.3379 0.3467 0.8691 F
0.3379 0.9913 0.6309 F
0.3467 0.0087 0.1309 F
0.3467 0.3379 0.3691 F
0.6533 0.6621 0.6309 F
0.6533 0.9913 0.8691 F
0.6621 0.0087 0.3691 F
0.6621 0.6533 0.1309 F
0.9913 0.3379 0.1309 F
0.9913 0.6533 0.3691 F

***

(9)
GGA-PBE RbZrF2, optimized geometry; uncorrected formation energy = -25.94 kcal/mol of atoms; relative energy among the computed polymorphs = 1074.0 meV per atom; V = 75.0 Å³ per cell; space group = Fm-3m (225)
1.0
0.0000 3.3467 3.3467
3.3467 0.0000 3.3467
3.3467 3.3467 0.0000
Rb Zr F
1 1 2
Direct
0.0000 0.0000 0.0000 Rb
0.5000 0.5000 0.5000 Zr
0.2500 0.2500 0.2500 F
0.7500 0.7500 0.7500 F

***

(10)
GGA-PBE CeCoSnPd, optimized geometry; E_form = -0.43 eV/atom; V = 76.6 Å³ per cell; space group = F-43m (216)
1.0
0.0000 3.3715 3.3715
3.3715 0.0000 3.3715
3.3715 3.3715 0.0000
Ce Co Sn Pd
1 1 1 1
Direct
0.0000 0.0000 0.0000 Ce
0.2500 0.2500 0.2500 Co
0.5000 0.5000 0.5000 Sn
0.7500 0.7500 0.7500 Pd

***

(11)
GGA-PBE Nd3ZnN, optimized geometry; uncorrected formation energy = -15.76 kcal/mol of atoms; relative energy among the computed polymorphs = 0.0 meV per atom; V = 486.2 Å³ per cell; space group = Pnma (62)
1.0
7.1251 0.0000 0.0000
0.0000 9.9294 0.0000
0.0000 0.0000 6.8717
Nd Zn N
12 4 4
Direct
0.0181 0.2500 0.0883 Nd
0.2182 0.0423 0.7152 Nd
0.2182 0.4577 0.7152 Nd
0.2818 0.5423 0.2152 Nd
0.2818 0.9577 0.2152 Nd
0.4819 0.7500 0.5883 Nd
0.5181 0.2500 0.4117 Nd
0.7182 0.0423 0.7848 Nd
0.7182 0.4577 0.7848 Nd
0.7818 0.5423 0.2848 Nd
0.7818 0.9577 0.2848 Nd
0.9819 0.7500 0.9117 Nd
0.0398 0.7500 0.4784 Zn
0.4602 0.2500 0.9784 Zn
0.5398 0.7500 0.0216 Zn
0.9602 0.2500 0.5216 Zn
0.0000 0.0000 0.0000 N
0.0000 0.5000 0.0000 N
0.5000 0.0000 0.5000 N
0.5000 0.5000 0.5000 N

***

(12)
GGA-PBE KSr2YI8, optimized geometry; uncorrected formation energy = -35.30 kcal/mol of atoms; V = 574.2 Å³ per cell; space group = P2/m (10)
1.0
7.3665 0.0000 0.0000
0.0000 9.9762 0.0000
-0.0280 0.0000 7.8128
K Sr Y I
1 2 1 8
Direct
0.0000 0.0000 0.0000 K
0.5000 0.2518 0.5000 Sr
0.5000 0.7482 0.5000 Sr
0.0000 0.5000 0.0000 Y
0.2368 0.2830 0.1544 I
0.2368 0.7170 0.1544 I
0.2451 0.5000 0.6733 I
0.2571 0.0000 0.6336 I
0.7429 0.0000 0.3664 I
0.7549 0.5000 0.3267 I
0.7632 0.2830 0.8456 I
0.7632 0.7170 0.8456 I